Entry A
First-principles (PBE-GGA) data for a geometry-optimized K3TaPd structure, as listed in Alexandria.

Geometry as CIF:
```
data_K3TaPd
_cell_length_a 6.0696
_cell_length_b 6.0696
_cell_length_c 6.0696
_cell_angle_alpha 90.00
_cell_angle_beta 90.00
_cell_angle_gamma 90.00
_symmetry_space_group_name_H-M 'P m -3 m'
_symmetry_Int_Tables_number 221
_symmetry_space_group_name_Hall '-P 4 2 3'
loop_
_atom_site_label
_atom_site_fract_x
_atom_site_fract_y
_atom_site_fract_z
K1 0.0000 0.0000 0.5000
Ta1 0.5000 0.5000 0.5000
Pd1 0.0000 0.0000 0.0000
```

As for the density of states at the Fermi level: 1.92 states/eV/atom.

---

Entry B
First-principles (PBE-GGA) data for a geometry-optimized K3TaPd structure, as listed in Alexandria.

Geometry as CIF:
```
data_K3TaPd
_cell_length_a 6.4996
_cell_length_b 6.4996
_cell_length_c 6.4996
_cell_angle_alpha 90.00
_cell_angle_beta 90.00
_cell_angle_gamma 90.00
_symmetry_space_group_name_H-M 'P m -3 m'
_symmetry_Int_Tables_number 221
_symmetry_space_group_name_Hall '-P 4 2 3'
loop_
_atom_site_label
_atom_site_fract_x
_atom_site_fract_y
_atom_site_fract_z
K1 0.0000 0.0000 0.5000
Ta1 0.0000 0.0000 0.0000
Pd1 0.5000 0.5000 0.5000
```

As for the density of states at the Fermi level: 1.92 states/eV/atom.

---

It is entry B that is the least stable of them.

---

Entry A
First-principles (PBE-GGA) data for a geometry-optimized K2TaPd structure, as listed in Alexandria.

Geometry as CIF:
```
data_K2TaPd
_cell_length_a 7.8996
_cell_length_b 7.8996
_cell_length_c 7.8996
_cell_angle_alpha 90.00
_cell_angle_beta 90.00
_cell_angle_gamma 90.00
_symmetry_space_group_name_H-M 'F m -3 m'
_symmetry_Int_Tables_number 225
_symmetry_space_group_name_Hall '-F 4 2 3'
loop_
_atom_site_label
_atom_site_fract_x
_atom_site_fract_y
_atom_site_fract_z
K1 0.2500 0.2500 0.2500
Ta1 0.0000 0.0000 0.0000
Pd1 0.0000 0.0000 0.5000
```

As for the density of states at the Fermi level: 1.09 states/eV/atom.

---

Entry B
First-principles (PBE-GGA) data for a geometry-optimized K2TaPd structure, as listed in Alexandria.

Geometry as CIF:
```
data_K2TaPd
_cell_length_a 11.9614
_cell_length_b 11.9614
_cell_length_c 5.0232
_cell_angle_alpha 90.00
_cell_angle_beta 90.00
_cell_angle_gamma 90.00
_symmetry_space_group_name_H-M 'I -4 2 d'
_symmetry_Int_Tables_number 122
_symmetry_space_group_name_Hall 'I -4 2bw'
loop_
_atom_site_label
_atom_site_fract_x
_atom_site_fract_y
_atom_site_fract_z
K1 0.0977 0.7500 0.1250
Ta1 0.0000 0.0000 0.5000
Pd1 0.0000 0.0000 0.0000
```

As for the density of states at the Fermi level: 1.15 states/eV/atom.

---

It is entry A that is the least stable of them.

---

Entry A
First-principles (PBE-GGA) data for a geometry-optimized KTaPd2 structure, as listed in Alexandria.

Geometry as CIF:
```
data_KTaPd2
_cell_length_a 6.7527
_cell_length_b 6.7527
_cell_length_c 6.7527
_cell_angle_alpha 90.00
_cell_angle_beta 90.00
_cell_angle_gamma 90.00
_symmetry_space_group_name_H-M 'F m -3 m'
_symmetry_Int_Tables_number 225
_symmetry_space_group_name_Hall '-F 4 2 3'
loop_
_atom_site_label
_atom_site_fract_x
_atom_site_fract_y
_atom_site_fract_z
K1 0.0000 0.0000 0.0000
Ta1 0.0000 0.0000 0.5000
Pd1 0.2500 0.2500 0.2500
```

As for the density of states at the Fermi level: 1.37 states/eV/atom.

---

Entry B
First-principles (PBE-GGA) data for a geometry-optimized KTaPd2 structure, as listed in Alexandria.

Geometry as CIF:
```
data_KTaPd2
_cell_length_a 7.5831
_cell_length_b 7.5831
_cell_length_c 6.6183
_cell_angle_alpha 90.00
_cell_angle_beta 90.00
_cell_angle_gamma 90.00
_symmetry_space_group_name_H-M 'I -4 2 d'
_symmetry_Int_Tables_number 122
_symmetry_space_group_name_Hall 'I -4 2bw'
loop_
_atom_site_label
_atom_site_fract_x
_atom_site_fract_y
_atom_site_fract_z
K1 0.0000 0.0000 0.0000
Ta1 0.0000 0.0000 0.5000
Pd1 0.1892 0.7500 0.6250
```

As for the density of states at the Fermi level: 0.12 states/eV/atom.

---

It is entry B that is the least stable of them.

---

Entry A
First-principles (PBE-GGA) data for a geometry-optimized KTcPd3 structure, as listed in Alexandria.

Geometry as CIF:
```
data_KTcPd3
_cell_length_a 4.8939
_cell_length_b 4.8939
_cell_length_c 4.8939
_cell_angle_alpha 90.00
_cell_angle_beta 90.00
_cell_angle_gamma 90.00
_symmetry_space_group_name_H-M 'P m -3 m'
_symmetry_Int_Tables_number 221
_symmetry_space_group_name_Hall '-P 4 2 3'
loop_
_atom_site_label
_atom_site_fract_x
_atom_site_fract_y
_atom_site_fract_z
K1 0.0000 0.0000 0.0000
Tc1 0.5000 0.5000 0.5000
Pd1 0.0000 0.0000 0.5000
```

As for the density of states at the Fermi level: 0.37 states/eV/atom.

---

Entry B
First-principles (PBE-GGA) data for a geometry-optimized KTcPd3 structure, as listed in Alexandria.

Geometry as CIF:
```
data_KTcPd3
_cell_length_a 4.9068
_cell_length_b 4.9068
_cell_length_c 4.9068
_cell_angle_alpha 90.00
_cell_angle_beta 90.00
_cell_angle_gamma 90.00
_symmetry_space_group_name_H-M 'P m -3 m'
_symmetry_Int_Tables_number 221
_symmetry_space_group_name_Hall '-P 4 2 3'
loop_
_atom_site_label
_atom_site_fract_x
_atom_site_fract_y
_atom_site_fract_z
K1 0.0000 0.0000 0.0000
Tc1 0.5000 0.5000 0.5000
Pd1 0.0000 0.5000 0.5000
```

As for the density of states at the Fermi level: 1.14 states/eV/atom.

---

It is entry A that is the least stable of them.

---

Entry A
First-principles (PBE-GGA) data for a geometry-optimized KTe2Pd2 structure, as listed in Alexandria.

Geometry as CIF:
```
data_KTe2Pd2
_cell_length_a 4.5637
_cell_length_b 4.5637
_cell_length_c 12.6715
_cell_angle_alpha 90.00
_cell_angle_beta 90.00
_cell_angle_gamma 90.00
_symmetry_space_group_name_H-M 'I 4/m m m'
_symmetry_Int_Tables_number 139
_symmetry_space_group_name_Hall '-I 4 2'
loop_
_atom_site_label
_atom_site_fract_x
_atom_site_fract_y
_atom_site_fract_z
K1 0.0000 0.0000 0.0000
Te1 0.0000 0.0000 0.3643
Pd1 0.0000 0.5000 0.2500
```

As for the density of states at the Fermi level: 0.57 states/eV/atom.

---

Entry B
First-principles (PBE-GGA) data for a geometry-optimized KTe2Pd2 structure, as listed in Alexandria.

Geometry as CIF:
```
data_KTe2Pd2
_cell_length_a 8.5470
_cell_length_b 8.5470
_cell_length_c 3.1932
_cell_angle_alpha 90.00
_cell_angle_beta 90.00
_cell_angle_gamma 90.00
_symmetry_space_group_name_H-M 'P 4/m b m'
_symmetry_Int_Tables_number 127
_symmetry_space_group_name_Hall '-P 4 2ab'
loop_
_atom_site_label
_atom_site_fract_x
_atom_site_fract_y
_atom_site_fract_z
K1 0.0000 0.0000 0.0000
Te1 0.1495 0.3505 0.0000
Pd1 0.1554 0.6554 0.5000
```

As for the density of states at the Fermi level: 0.32 states/eV/atom.

---

It is entry B that is the least stable of them.

---

Entry A
First-principles (PBE-GGA) data for a geometry-optimized KTe2Pd2 structure, as listed in Alexandria.

Geometry as CIF:
```
data_KTe2Pd2
_cell_length_a 7.1257
_cell_length_b 11.8254
_cell_length_c 13.4511
_cell_angle_alpha 90.00
_cell_angle_beta 90.00
_cell_angle_gamma 90.00
_symmetry_space_group_name_H-M 'F d d d'
_symmetry_Int_Tables_number 70
loop_
_symmetry_equiv_pos_as_xyz
'x,y,z'
'-x,-y,-z'
'-x+1/4,-y+1/4,z'
'x+1/4,y+1/4,-z'
'x,-y+1/4,-z+1/4'
'-x,y+1/4,z+1/4'
'-x+1/4,y,-z+1/4'
'x+1/4,-y,z+1/4'
'x,y+1/2,z+1/2'
'-x,-y+1/2,-z+1/2'
'-x+1/4,-y+3/4,z+1/2'
'x+1/4,y+3/4,-z+1/2'
'x,-y+3/4,-z+3/4'
'-x,y+3/4,z+3/4'
'-x+1/4,y+1/2,-z+3/4'
'x+1/4,-y+1/2,z+3/4'
'x+1/2,y,z+1/2'
'-x+1/2,-y,-z+1/2'
'-x+3/4,-y+1/4,z+1/2'
'x+3/4,y+1/4,-z+1/2'
'x+1/2,-y+1/4,-z+3/4'
'-x+1/2,y+1/4,z+3/4'
'-x+3/4,y,-z+3/4'
'x+3/4,-y,z+3/4'
'x+1/2,y+1/2,z'
'-x+1/2,-y+1/2,-z'
'-x+3/4,-y+3/4,z'
'x+3/4,y+3/4,-z'
'x+1/2,-y+3/4,-z+1/4'
'-x+1/2,y+3/4,z+1/4'
'-x+3/4,y+1/2,-z+1/4'
'x+3/4,-y+1/2,z+1/4'
loop_
_atom_site_label
_atom_site_fract_x
_atom_site_fract_y
_atom_site_fract_z
K1 0.1250 0.1250 0.1250
Te1 0.1250 0.3133 0.6250
Pd1 0.1250 0.1250 0.5168
```

As for the density of states at the Fermi level: 0.62 states/eV/atom.

---

Entry B
First-principles (PBE-GGA) data for a geometry-optimized KTe2Pd2 structure, as listed in Alexandria.

Geometry as CIF:
```
data_KTe2Pd2
_cell_length_a 8.3775
_cell_length_b 8.3775
_cell_length_c 3.2892
_cell_angle_alpha 90.00
_cell_angle_beta 90.00
_cell_angle_gamma 90.00
_symmetry_space_group_name_H-M 'P 4/m b m'
_symmetry_Int_Tables_number 127
_symmetry_space_group_name_Hall '-P 4 2ab'
loop_
_atom_site_label
_atom_site_fract_x
_atom_site_fract_y
_atom_site_fract_z
K1 0.0000 0.0000 0.0000
Te1 0.1672 0.3328 0.5000
Pd1 0.1213 0.6213 0.0000
```

As for the density of states at the Fermi level: 0.58 states/eV/atom.

---

It is entry B that is the least stable of them.

---

Entry A
First-principles (PBE-GGA) data for a geometry-optimized KTiPd2 structure, as listed in Alexandria.

Geometry as CIF:
```
data_KTiPd2
_cell_length_a 7.5146
_cell_length_b 7.5146
_cell_length_c 6.3877
_cell_angle_alpha 90.00
_cell_angle_beta 90.00
_cell_angle_gamma 90.00
_symmetry_space_group_name_H-M 'I -4 2 d'
_symmetry_Int_Tables_number 122
_symmetry_space_group_name_Hall 'I -4 2bw'
loop_
_atom_site_label
_atom_site_fract_x
_atom_site_fract_y
_atom_site_fract_z
K1 0.0000 0.0000 0.0000
Ti1 0.0000 0.0000 0.5000
Pd1 0.1878 0.2500 0.6250
```

As for the density of states at the Fermi level: 1.02 states/eV/atom.

---

Entry B
First-principles (PBE-GGA) data for a geometry-optimized KTiPd2 structure, as listed in Alexandria.

Geometry as CIF:
```
data_KTiPd2
_cell_length_a 6.7501
_cell_length_b 6.7501
_cell_length_c 6.7501
_cell_angle_alpha 90.00
_cell_angle_beta 90.00
_cell_angle_gamma 90.00
_symmetry_space_group_name_H-M 'F m -3 m'
_symmetry_Int_Tables_number 225
_symmetry_space_group_name_Hall '-F 4 2 3'
loop_
_atom_site_label
_atom_site_fract_x
_atom_site_fract_y
_atom_site_fract_z
K1 0.0000 0.0000 0.0000
Ti1 0.0000 0.0000 0.5000
Pd1 0.2500 0.2500 0.2500
```

As for the density of states at the Fermi level: 1.16 states/eV/atom.

---

It is entry B that is the least stable of them.

---

Entry A
First-principles (PBE-GGA) data for a geometry-optimized K2Tl3Pd structure, as listed in Alexandria.

Geometry as CIF:
```
data_K2Tl3Pd
_cell_length_a 10.4725
_cell_length_b 6.4903
_cell_length_c 6.1428
_cell_angle_alpha 90.00
_cell_angle_beta 120.53
_cell_angle_gamma 90.00
_symmetry_space_group_name_H-M 'C 1 2/m 1'
_symmetry_Int_Tables_number 12
loop_
_symmetry_equiv_pos_as_xyz
'x,y,z'
'-x,-y,-z'
'-x,y,-z'
'x,-y,z'
'x+1/2,y+1/2,z'
'-x+1/2,-y+1/2,-z'
'-x+1/2,y+1/2,-z'
'x+1/2,-y+1/2,z'
loop_
_atom_site_label
_atom_site_fract_x
_atom_site_fract_y
_atom_site_fract_z
K1 0.1246 0.0000 0.3752
Tl1 0.0000 0.5000 0.5000
Tl2 0.2500 0.2500 0.0000
Pd1 0.0000 0.5000 0.0000
```

As for the density of states at the Fermi level: 0.68 states/eV/atom.

---

Entry B
First-principles (PBE-GGA) data for a geometry-optimized K2Tl3Pd structure, as listed in Alexandria.

Geometry as CIF:
```
data_K2Tl3Pd
_cell_length_a 8.1291
_cell_length_b 10.5071
_cell_length_c 18.0636
_cell_angle_alpha 90.00
_cell_angle_beta 90.00
_cell_angle_gamma 90.00
_symmetry_space_group_name_H-M 'F m m m'
_symmetry_Int_Tables_number 69
_symmetry_space_group_name_Hall '-F 2 2'
loop_
_atom_site_label
_atom_site_fract_x
_atom_site_fract_y
_atom_site_fract_z
K1 0.2348 0.0000 0.0000
K2 0.2500 0.2500 0.2500
Tl1 0.0000 0.0000 0.1792
Tl2 0.0000 0.2287 0.4115
Pd1 0.0000 0.0000 0.3340
```

As for the density of states at the Fermi level: 0.61 states/eV/atom.

---

It is entry B that is the least stable of them.